#P
! NaGa2Cu2 (PBE, relaxed); values from VASP
! Space-group type: P4/mbm (127)
&SYSTEM
  ibrav = 0, nat = 10, ntyp = 3
/
ATOMIC_SPECIES
Na 22.99 Na.upf
Ga 69.72 Ga.upf
Cu 63.55 Cu.upf
ATOMIC_POSITIONS angstrom
Na -0.793 0.350 -5.424
Ga 1.114 -2.186 -4.695
Ga -2.028 -0.418 -2.512
Cu -3.008 1.595 -3.912
Na 0.000 0.000 0.000
Ga -3.965 0.591 -6.116
Ga -0.823 -1.176 -8.299
Cu -2.136 1.048 -7.964
Cu 0.549 -0.349 -2.884
Cu 1.421 -0.895 -6.937
CELL_PARAMETERS angstrom
-5.538 2.979 -4.561
3.951 -2.280 -6.288
-1.264 -2.294 0.037


#Q
! NaGa2Cu2 (PBE, relaxed); values from VASP
! Space-group type: I4/mmm (139)
&SYSTEM
  ibrav = 0, nat = 5, ntyp = 3
/
ATOMIC_SPECIES
Ga 69.72 Ga.upf
Cu 63.55 Cu.upf
Na 22.99 Na.upf
ATOMIC_POSITIONS angstrom
Ga 4.192 4.192 3.875
Cu 2.096 4.192 2.581
Na 0.000 0.000 0.000
Ga 2.096 2.096 1.287
Cu 4.192 2.096 2.581
CELL_PARAMETERS angstrom
4.192 0.000 0.000
0.000 4.192 0.000
2.096 2.096 5.163


Relative energy table, unit kJ/mol of atoms: #P 0.0; #Q 4.3